<i>
# LiPH | Alexandria via LeMat-Bulk | PBE | optimized geometry
# Theoretical density ... 1559 kg/m3
data_LiPH
_chemical_formula_sum 'Li2 P2 H2'
_cell_length_a 4.2143
_cell_length_b 4.3621
_cell_length_c 5.5101
_cell_angle_alpha 68.41
_cell_angle_beta 88.42
_cell_angle_gamma 63.20
_space_group_name_H-M_alt 'P 1'
_space_group_IT_number 1
loop_
_space_group_symop_operation_xyz
'x,y,z'
loop_
_atom_site_label
_atom_site_type_symbol
_atom_site_fract_x
_atom_site_fract_y
_atom_site_fract_z
_atom_site_occupancy
Li1 Li 0.0000 0.0000 0.0000 1
Li2 Li 0.4016 0.4316 0.5590 1
P1 P 0.5107 0.9771 0.2876 1
P2 P 0.8030 0.7423 0.6916 1
H1 H 0.2123 0.3285 0.2759 1
H2 H 0.5960 0.5836 0.8593 1

---

<ii>
# LiPH | Alexandria via LeMat-Bulk | PBE | optimized geometry
# Theoretical density ... 1516 kg/m3
data_LiPH
_chemical_formula_sum 'Li4 P4 H4'
_cell_length_a 4.9222
_cell_length_b 6.8686
_cell_length_c 5.5596
_cell_angle_alpha 90.00
_cell_angle_beta 114.88
_cell_angle_gamma 90.00
_space_group_name_H-M_alt 'C 1 2 1'
_space_group_IT_number 5
loop_
_space_group_symop_operation_xyz
'x,y,z'
'-x,y,-z'
'x+1/2,y+1/2,z'
'-x+1/2,y+1/2,-z'
loop_
_atom_site_label
_atom_site_type_symbol
_atom_site_fract_x
_atom_site_fract_y
_atom_site_fract_z
_atom_site_occupancy
Li1 Li 0.0000 0.0000 0.0000 1
Li2 Li 0.0000 0.1314 0.5000 1
P1 P 0.1821 0.3383 0.2054 1
H1 H 0.1178 0.6976 0.8319 1

---

<iii>
# LiPH | Alexandria via LeMat-Bulk | PBE | optimized geometry
# Theoretical density ... 1558 kg/m3
data_LiPH
_chemical_formula_sum 'Li1 P1 H1'
_cell_length_a 2.7313
_cell_length_b 4.0227
_cell_length_c 4.2628
_cell_angle_alpha 71.29
_cell_angle_beta 89.99
_cell_angle_gamma 70.39
_space_group_name_H-M_alt 'P 1'
_space_group_IT_number 1
loop_
_space_group_symop_operation_xyz
'x,y,z'
loop_
_atom_site_label
_atom_site_type_symbol
_atom_site_fract_x
_atom_site_fract_y
_atom_site_fract_z
_atom_site_occupancy
Li1 Li 0.0000 0.0000 0.0000 1
P1 P 0.4449 0.1130 0.4682 1
H1 H 0.2502 0.5095 0.4086 1

---

Which of them is the most stable, and which is the least stable? <ii> and <iii>, in that order.

---

<i>
# LiPH | Alexandria via LeMat-Bulk | PBE | optimized geometry
# Theoretical density ... 1432 kg/m3
data_LiPH
_chemical_formula_sum 'Li2 P2 H2'
_cell_length_a 4.2627
_cell_length_b 4.8888
_cell_length_c 4.9431
_cell_angle_alpha 109.57
_cell_angle_beta 97.20
_cell_angle_gamma 106.48
_space_group_name_H-M_alt 'P -1'
_space_group_IT_number 2
loop_
_space_group_symop_operation_xyz
'x,y,z'
'-x,-y,-z'
loop_
_atom_site_label
_atom_site_type_symbol
_atom_site_fract_x
_atom_site_fract_y
_atom_site_fract_z
_atom_site_occupancy
Li1 Li 0.0113 0.2916 0.2148 1
P1 P 0.1442 0.2172 0.7023 1
H1 H 0.4703 0.2171 0.6604 1

---

<ii>
# LiPH | Alexandria via LeMat-Bulk | PBE | optimized geometry
# Theoretical density ... 1612 kg/m3
data_LiPH
_chemical_formula_sum 'Li4 P4 H4'
_cell_length_a 10.5880
_cell_length_b 3.2583
_cell_length_c 4.9797
_cell_angle_alpha 90.00
_cell_angle_beta 111.01
_cell_angle_gamma 90.00
_space_group_name_H-M_alt 'C 1 2/m 1'
_space_group_IT_number 12
loop_
_space_group_symop_operation_xyz
'x,y,z'
'-x,-y,-z'
'-x,y,-z'
'x,-y,z'
'x+1/2,y+1/2,z'
'-x+1/2,-y+1/2,-z'
'-x+1/2,y+1/2,-z'
'x+1/2,-y+1/2,z'
loop_
_atom_site_label
_atom_site_type_symbol
_atom_site_fract_x
_atom_site_fract_y
_atom_site_fract_z
_atom_site_occupancy
Li1 Li 0.0653 0.0000 0.3052 1
P1 P 0.1863 0.0000 0.8526 1
H1 H 0.2073 0.5000 0.2870 1

---

Which of them is the most stable, and which is the least stable? <i> and <ii>, in that order.

---

<i>
# LiPH | Alexandria via LeMat-Bulk | PBE | optimized geometry
# Theoretical density ... 1364 kg/m3
data_LiPH
_chemical_formula_sum 'Li2 P2 H2'
_cell_length_a 3.2129
_cell_length_b 4.2071
_cell_length_c 7.1929
_cell_angle_alpha 86.74
_cell_angle_beta 77.48
_cell_angle_gamma 89.65
_space_group_name_H-M_alt 'P -1'
_space_group_IT_number 2
loop_
_space_group_symop_operation_xyz
'x,y,z'
'-x,-y,-z'
loop_
_atom_site_label
_atom_site_type_symbol
_atom_site_fract_x
_atom_site_fract_y
_atom_site_fract_z
_atom_site_occupancy
Li1 Li 0.1695 0.4245 0.1641 1
P1 P 0.3019 0.0562 0.8922 1
H1 H 0.0172 0.4119 0.5099 1

---

<ii>
# LiPH | Alexandria via LeMat-Bulk | PBE | optimized geometry
# Theoretical density ... 1533 kg/m3
data_LiPH
_chemical_formula_sum 'Li2 P2 H2'
_cell_length_a 4.2605
_cell_length_b 4.2646
_cell_length_c 5.5762
_cell_angle_alpha 102.49
_cell_angle_beta 102.79
_cell_angle_gamma 114.51
_space_group_name_H-M_alt 'P 1'
_space_group_IT_number 1
loop_
_space_group_symop_operation_xyz
'x,y,z'
loop_
_atom_site_label
_atom_site_type_symbol
_atom_site_fract_x
_atom_site_fract_y
_atom_site_fract_z
_atom_site_occupancy
Li1 Li 0.0000 0.0000 0.0000 1
Li2 Li 0.1270 0.8920 0.5157 1
P1 P 0.1968 0.5315 0.8340 1
P2 P 0.5515 0.9118 0.2457 1
H1 H 0.4670 0.5523 0.7096 1
H2 H 0.6291 0.2611 0.2108 1

---

Which of them is the most stable, and which is the least stable? <ii> and <i>, in that order.

---

<i>
# LiPH | Alexandria via LeMat-Bulk | PBE | optimized geometry
# Theoretical density ... 1485 kg/m3
data_LiPH
_chemical_formula_sum 'Li4 P4 H4'
_cell_length_a 11.8259
_cell_length_b 3.2828
_cell_length_c 4.4885
_cell_angle_alpha 90.00
_cell_angle_beta 92.17
_cell_angle_gamma 90.00
_space_group_name_H-M_alt 'C 1 m 1'
_space_group_IT_number 8
loop_
_space_group_symop_operation_xyz
'x,y,z'
'x,-y,z'
'x+1/2,y+1/2,z'
'x+1/2,-y+1/2,z'
loop_
_atom_site_label
_atom_site_type_symbol
_atom_site_fract_x
_atom_site_fract_y
_atom_site_fract_z
_atom_site_occupancy
Li1 Li 0.0000 0.0000 0.0000 1
Li2 Li 0.2198 0.5000 0.0995 1
P1 P 0.3428 0.5000 0.6007 1
P2 P 0.4500 0.0000 0.4411 1
H1 H 0.0457 0.5000 0.6537 1
H2 H 0.1513 0.0000 0.0397 1

---

<ii>
# LiPH | Alexandria via LeMat-Bulk | PBE | optimized geometry
# Theoretical density ... 1470 kg/m3
data_LiPH
_chemical_formula_sum 'Li2 P2 H2'
_cell_length_a 4.3088
_cell_length_b 4.7380
_cell_length_c 5.2513
_cell_angle_alpha 94.99
_cell_angle_beta 109.09
_cell_angle_gamma 115.73
_space_group_name_H-M_alt 'P 1'
_space_group_IT_number 1
loop_
_space_group_symop_operation_xyz
'x,y,z'
loop_
_atom_site_label
_atom_site_type_symbol
_atom_site_fract_x
_atom_site_fract_y
_atom_site_fract_z
_atom_site_occupancy
Li1 Li 0.0000 0.0000 0.0000 1
Li2 Li 0.0892 0.4533 0.6555 1
P1 P 0.4659 0.1043 0.7813 1
P2 P 0.9346 0.5056 0.1504 1
H1 H 0.2613 0.4973 0.1305 1
H2 H 0.4681 0.2517 0.5513 1

---

Which of them is the most stable, and which is the least stable? <ii> and <i>, in that order.

---

<i>
# Li2PH | Alexandria via LeMat-Bulk | PBE | optimized geometry
# Theoretical density ... 1763 kg/m3
data_Li2PH
_chemical_formula_sum 'Li6 P3 H3'
_cell_length_a 2.8022
_cell_length_b 2.8022
_cell_length_c 19.0537
_cell_angle_alpha 90.00
_cell_angle_beta 90.00
_cell_angle_gamma 120.00
_space_group_name_H-M_alt 'R -3 m'
_space_group_IT_number 166
_space_group_name_Hall '-R 3 2"'
loop_
_atom_site_label
_atom_site_type_symbol
_atom_site_fract_x
_atom_site_fract_y
_atom_site_fract_z
_atom_site_occupancy
Li1 Li 0.0000 0.0000 0.2267 1
P1 P 0.0000 0.0000 0.0000 1
H1 H 0.0000 0.0000 0.5000 1

---

<ii>
# Li2PH | Alexandria via LeMat-Bulk | PBE | optimized geometry
# Theoretical density ... 1458 kg/m3
data_Li2PH
_chemical_formula_sum 'Li4 P2 H2'
_cell_length_a 2.7715
_cell_length_b 6.6492
_cell_length_c 5.6706
_cell_angle_alpha 90.00
_cell_angle_beta 90.00
_cell_angle_gamma 90.00
_space_group_name_H-M_alt 'A m m 2'
_space_group_IT_number 38
loop_
_space_group_symop_operation_xyz
'x,y,z'
'-x,-y,z'
'-x,y,z'
'x,-y,z'
'x,y+1/2,z+1/2'
'-x,-y+1/2,z+1/2'
'-x,y+1/2,z+1/2'
'x,-y+1/2,z+1/2'
loop_
_atom_site_label
_atom_site_type_symbol
_atom_site_fract_x
_atom_site_fract_y
_atom_site_fract_z
_atom_site_occupancy
Li1 Li 0.0000 0.2398 0.0000 1
P1 P 0.5000 0.0000 0.7162 1
H1 H 0.5000 0.0000 0.9953 1

---

<iii>
# Li2PH | Alexandria via LeMat-Bulk | PBE | optimized geometry
# Theoretical density ... 1606 kg/m3
data_Li2PH
_chemical_formula_sum 'Li8 P4 H4'
_cell_length_a 5.7452
_cell_length_b 5.7452
_cell_length_c 5.7452
_cell_angle_alpha 90.00
_cell_angle_beta 90.00
_cell_angle_gamma 90.00
_space_group_name_H-M_alt 'F m -3 m'
_space_group_IT_number 225
_space_group_name_Hall '-F 4 2 3'
loop_
_atom_site_label
_atom_site_type_symbol
_atom_site_fract_x
_atom_site_fract_y
_atom_site_fract_z
_atom_site_occupancy
Li1 Li 0.2500 0.2500 0.2500 1
P1 P 0.0000 0.0000 0.0000 1
H1 H 0.0000 0.0000 0.5000 1

---

<iv>
# Li2PH | Alexandria via LeMat-Bulk | PBE | optimized geometry
# Theoretical density ... 1544 kg/m3
data_Li2PH
_chemical_formula_sum 'Li8 P4 H4'
_cell_length_a 5.4430
_cell_length_b 5.4430
_cell_length_c 6.6580
_cell_angle_alpha 90.00
_cell_angle_beta 90.00
_cell_angle_gamma 90.00
_space_group_name_H-M_alt 'I -4 2 d'
_space_group_IT_number 122
_space_group_name_Hall 'I -4 2bw'
loop_
_atom_site_label
_atom_site_type_symbol
_atom_site_fract_x
_atom_site_fract_y
_atom_site_fract_z
_atom_site_occupancy
Li1 Li 0.1269 0.7500 0.1250 1
P1 P 0.0000 0.0000 0.5000 1
H1 H 0.0000 0.0000 0.0000 1

---

Which of them is the most stable, and which is the least stable? <i> and <iii>, in that order.

---

<i>
# LiPH3 | Alexandria via LeMat-Bulk | PBE | optimized geometry
# Theoretical density ... 1308 kg/m3
data_LiPH3
_chemical_formula_sum 'Li2 P2 H6'
_cell_length_a 3.6917
_cell_length_b 3.8723
_cell_length_c 7.2849
_cell_angle_alpha 93.24
_cell_angle_beta 90.11
_cell_angle_gamma 90.04
_space_group_name_H-M_alt 'P 1'
_space_group_IT_number 1
loop_
_space_group_symop_operation_xyz
'x,y,z'
loop_
_atom_site_label
_atom_site_type_symbol
_atom_site_fract_x
_atom_site_fract_y
_atom_site_fract_z
_atom_site_occupancy
Li1 Li 0.0000 0.0000 0.0000 1
Li2 Li 0.4988 0.4970 0.8083 1
P1 P 0.1094 0.9958 0.6718 1
P2 P 0.6112 0.4997 0.1369 1
H1 H 0.3229 0.7189 0.5747 1
H2 H 0.3542 0.2374 0.5761 1
H3 H 0.3556 0.4775 0.2863 1
H4 H 0.8256 0.7765 0.2341 1
H5 H 0.8528 0.0178 0.5224 1
H6 H 0.8562 0.2580 0.2326 1

---

<ii>
# LiPH3 | Alexandria via LeMat-Bulk | PBE | optimized geometry
# Theoretical density ... 1473 kg/m3
data_LiPH3
_chemical_formula_sum 'Li1 P1 H3'
_cell_length_a 3.5871
_cell_length_b 3.5871
_cell_length_c 3.5871
_cell_angle_alpha 90.00
_cell_angle_beta 90.00
_cell_angle_gamma 90.00
_space_group_name_H-M_alt 'P m -3 m'
_space_group_IT_number 221
_space_group_name_Hall '-P 4 2 3'
loop_
_atom_site_label
_atom_site_type_symbol
_atom_site_fract_x
_atom_site_fract_y
_atom_site_fract_z
_atom_site_occupancy
Li1 Li 0.0000 0.0000 0.0000 1
P1 P 0.5000 0.5000 0.5000 1
H1 H 0.0000 0.5000 0.5000 1

---

Which of them is the most stable, and which is the least stable? <i> and <ii>, in that order.